(1)
Here is crystalline Lu5Sn3 at its relaxed geometry from Alexandria. Energies are from PBE.

Structure (CIF):
```
data_Lu5Sn3
_chemical_formula_sum 'Lu10 Sn6'
_symmetry_space_group_name_H-M 'P 63/m c m'
_symmetry_Int_Tables_number 193
_symmetry_space_group_name_Hall '-P 6c 2'
_cell_length_a 8.7679
_cell_length_b 8.7679
_cell_length_c 6.3834
_cell_angle_alpha 90.00
_cell_angle_beta 90.00
_cell_angle_gamma 120.00
loop_
_atom_site_label
_atom_site_fract_x
_atom_site_fract_y
_atom_site_fract_z
Lu1 0.0000 0.2366 0.2500
Lu2 0.3333 0.6667 0.0000
Sn1 0.0000 0.3951 0.7500
```

The value obtained for the density is 9.62 g cm⁻³. The energy of formation is -0.6737 eV per atom.


(2)
Here is crystalline SrLuSn at its relaxed geometry from Alexandria. Energies are from PBE.

Structure (CIF):
```
data_SrLuSn
_chemical_formula_sum 'Sr1 Lu1 Sn1'
_symmetry_space_group_name_H-M 'P -6 m 2'
_symmetry_Int_Tables_number 187
_symmetry_space_group_name_Hall 'P -6 2'
_cell_length_a 5.2158
_cell_length_b 5.2158
_cell_length_c 4.3004
_cell_angle_alpha 90.00
_cell_angle_beta 90.00
_cell_angle_gamma 120.00
loop_
_atom_site_label
_atom_site_fract_x
_atom_site_fract_y
_atom_site_fract_z
Sr1 0.0000 0.0000 0.0000
Lu1 0.6667 0.3333 0.5000
Sn1 0.3333 0.6667 0.5000
```

The value obtained for the density is 6.25 g cm⁻³. The energy of formation is -0.3000 eV per atom.


(3)
Here is crystalline SrLuSn2 at its relaxed geometry from Alexandria. Energies are from PBE.

Structure (CIF):
```
data_SrLuSn2
_chemical_formula_sum 'Sr3 Lu3 Sn6'
_symmetry_space_group_name_H-M 'R -3 m'
_symmetry_Int_Tables_number 166
_symmetry_space_group_name_Hall '-R 3 2"'
_cell_length_a 3.8604
_cell_length_b 3.8604
_cell_length_c 28.7462
_cell_angle_alpha 90.00
_cell_angle_beta 90.00
_cell_angle_gamma 120.00
loop_
_atom_site_label
_atom_site_fract_x
_atom_site_fract_y
_atom_site_fract_z
Sr1 0.0000 0.0000 0.0000
Lu1 0.0000 0.0000 0.5000
Sn1 0.0000 0.0000 0.2443
```

The value obtained for the density is 6.71 g cm⁻³. The energy of formation is -0.4149 eV per atom.


(4)
Here is crystalline SrLuSn2 at its relaxed geometry from Alexandria. Energies are from PBE.

Structure (CIF):
```
data_SrLuSn2
_chemical_formula_sum 'Sr1 Lu1 Sn2'
_symmetry_space_group_name_H-M 'P 4/m m m'
_symmetry_Int_Tables_number 123
_symmetry_space_group_name_Hall '-P 4 2'
_cell_length_a 4.005
_cell_length_b 4.005
_cell_length_c 7.354
_cell_angle_alpha 90.00
_cell_angle_beta 90.00
_cell_angle_gamma 90.00
loop_
_atom_site_label
_atom_site_fract_x
_atom_site_fract_y
_atom_site_fract_z
Sr1 0.000 0.000 0.000
Lu1 0.000 0.000 0.500
Sn1 0.500 0.500 0.290
```

The value obtained for the density is 7.04 g cm⁻³. The energy of formation is -0.5571 eV per atom.


(5)
Here is crystalline SrLuSn2 at its relaxed geometry from Alexandria. Energies are from PBE.

Structure (CIF):
```
data_SrLuSn2
_chemical_formula_sum 'Sr1 Lu1 Sn2'
_symmetry_space_group_name_H-M 'P 4/m m m'
_symmetry_Int_Tables_number 123
_symmetry_space_group_name_Hall '-P 4 2'
_cell_length_a 5.093
_cell_length_b 5.093
_cell_length_c 4.446
_cell_angle_alpha 90.00
_cell_angle_beta 90.00
_cell_angle_gamma 90.00
loop_
_atom_site_label
_atom_site_fract_x
_atom_site_fract_y
_atom_site_fract_z
Sr1 0.000 0.000 0.000
Lu1 0.500 0.500 0.000
Sn1 0.000 0.500 0.500
```

The value obtained for the density is 7.20 g cm⁻³. The energy of formation is -0.4641 eV per atom.


(6)
Here is crystalline LuTaSn2 at its relaxed geometry from Alexandria. Energies are from PBE.

Structure (CIF):
```
data_LuTaSn2
_chemical_formula_sum 'Lu3 Ta3 Sn6'
_symmetry_space_group_name_H-M 'R -3 m'
_symmetry_Int_Tables_number 166
_symmetry_space_group_name_Hall '-R 3 2"'
_cell_length_a 3.1811
_cell_length_b 3.1811
_cell_length_c 33.3656
_cell_angle_alpha 90.00
_cell_angle_beta 90.00
_cell_angle_gamma 120.00
loop_
_atom_site_label
_atom_site_fract_x
_atom_site_fract_y
_atom_site_fract_z
Lu1 0.0000 0.0000 0.0000
Ta1 0.0000 0.0000 0.5000
Sn1 0.0000 0.0000 0.4144
```

The value obtained for the density is 10.11 g cm⁻³. The energy of formation is 0.3290 eV per atom.


(7)
Here is crystalline TbLuSn at its relaxed geometry from Alexandria. Energies are from PBE.

Structure (CIF):
```
data_TbLuSn
_chemical_formula_sum 'Tb2 Lu2 Sn2'
_symmetry_space_group_name_H-M 'I 4 m m'
_symmetry_Int_Tables_number 107
_symmetry_space_group_name_Hall 'I 4 -2'
_cell_length_a 3.525
_cell_length_b 3.525
_cell_length_c 13.498
_cell_angle_alpha 90.00
_cell_angle_beta 90.00
_cell_angle_gamma 90.00
loop_
_atom_site_label
_atom_site_fract_x
_atom_site_fract_y
_atom_site_fract_z
Tb1 0.000 0.000 0.000
Lu1 0.000 0.000 0.687
Sn1 0.000 0.000 0.340
```

The value obtained for the density is 8.96 g cm⁻³. The energy of formation is -0.4201 eV per atom. The distance to the lowest polymorph of the same formula comes out at 0 meV per atom.


(8)
Here is crystalline TbLuSn at its relaxed geometry from Alexandria. Energies are from PBE.

Structure (CIF):
```
data_TbLuSn
_chemical_formula_sum 'Tb1 Lu1 Sn1'
_symmetry_space_group_name_H-M 'P 3 m 1'
_symmetry_Int_Tables_number 156
_cell_length_a 5.0680
_cell_length_b 5.0680
_cell_length_c 3.8141
_cell_angle_alpha 90.00
_cell_angle_beta 90.00
_cell_angle_gamma 120.00
loop_
_symmetry_equiv_pos_as_xyz
'x,y,z'
'-y,x-y,z'
'-x+y,-x,z'
'-y,-x,z'
'-x+y,y,z'
'x,x-y,z'
loop_
_atom_site_label
_atom_site_fract_x
_atom_site_fract_y
_atom_site_fract_z
Tb1 0.0000 0.0000 0.0000
Lu1 0.3333 0.6667 0.5486
Sn1 0.6667 0.3333 0.3421
```

The value obtained for the density is 8.86 g cm⁻³. The energy of formation is -0.3444 eV per atom. The distance to the lowest polymorph of the same formula comes out at 76 meV per atom.


(9)
Here is crystalline TbLuSn2 at its relaxed geometry from Alexandria. Energies are from PBE.

Structure (CIF):
```
data_TbLuSn2
_chemical_formula_sum 'Tb3 Lu3 Sn6'
_symmetry_space_group_name_H-M 'R -3 m'
_symmetry_Int_Tables_number 166
_symmetry_space_group_name_Hall '-R 3 2"'
_cell_length_a 3.7740
_cell_length_b 3.7740
_cell_length_c 27.1625
_cell_angle_alpha 90.00
_cell_angle_beta 90.00
_cell_angle_gamma 120.00
loop_
_atom_site_label
_atom_site_fract_x
_atom_site_fract_y
_atom_site_fract_z
Tb1 0.0000 0.0000 0.0000
Lu1 0.0000 0.0000 0.5000
Sn1 0.0000 0.0000 0.2484
```

The value obtained for the density is 8.49 g cm⁻³. The energy of formation is -0.4939 eV per atom.


(10)
Here is crystalline TbLu2Sn at its relaxed geometry from Alexandria. Energies are from PBE.

Structure (CIF):
```
data_TbLu2Sn
_chemical_formula_sum 'Tb1 Lu2 Sn1'
_symmetry_space_group_name_H-M 'P 4/m m m'
_symmetry_Int_Tables_number 123
_symmetry_space_group_name_Hall '-P 4 2'
_cell_length_a 3.652
_cell_length_b 3.652
_cell_length_c 8.533
_cell_angle_alpha 90.00
_cell_angle_beta 90.00
_cell_angle_gamma 90.00
loop_
_atom_site_label
_atom_site_fract_x
_atom_site_fract_y
_atom_site_fract_z
Tb1 0.000 0.000 0.000
Lu1 0.500 0.500 0.277
Sn1 0.000 0.000 0.500
```

The value obtained for the density is 9.16 g cm⁻³. The energy of formation is -0.2872 eV per atom. The distance to the lowest polymorph of the same formula comes out at 103 meV per atom.


(11)
Here is crystalline TbLuSn2 at its relaxed geometry from Alexandria. Energies are from PBE.

Structure (CIF):
```
data_TbLuSn2
_chemical_formula_sum 'Tb1 Lu1 Sn2'
_symmetry_space_group_name_H-M 'P 4/m m m'
_symmetry_Int_Tables_number 123
_symmetry_space_group_name_Hall '-P 4 2'
_cell_length_a 3.454
_cell_length_b 3.454
_cell_length_c 8.731
_cell_angle_alpha 90.00
_cell_angle_beta 90.00
_cell_angle_gamma 90.00
loop_
_atom_site_label
_atom_site_fract_x
_atom_site_fract_y
_atom_site_fract_z
Tb1 0.000 0.000 0.000
Lu1 0.000 0.000 0.500
Sn1 0.500 0.500 0.256
```

The value obtained for the density is 9.11 g cm⁻³. The energy of formation is -0.5892 eV per atom.


(12)
Here is crystalline TbLu2Sn at its relaxed geometry from Alexandria. Energies are from PBE.

Structure (CIF):
```
data_TbLu2Sn
_chemical_formula_sum 'Tb1 Lu2 Sn1'
_symmetry_space_group_name_H-M 'P 4/m m m'
_symmetry_Int_Tables_number 123
_symmetry_space_group_name_Hall '-P 4 2'
_cell_length_a 4.757
_cell_length_b 4.757
_cell_length_c 4.748
_cell_angle_alpha 90.00
_cell_angle_beta 90.00
_cell_angle_gamma 90.00
loop_
_atom_site_label
_atom_site_fract_x
_atom_site_fract_y
_atom_site_fract_z
Tb1 0.000 0.000 0.000
Lu1 0.000 0.500 0.500
Sn1 0.500 0.500 0.000
```

The value obtained for the density is 9.70 g cm⁻³. The energy of formation is -0.3897 eV per atom. The distance to the lowest polymorph of the same formula comes out at 0 meV per atom.


The highest energy of formation belongs to which entry? LuTaSn2


Which of these has the lowest energy of formation? Lu5Sn3